1.
The following is a PBE calculation of a relaxed CsBiBr crystal, from Alexandria via LeMat-Bulk.

E (eV per formula unit): -7.778
Calculated volume (Å³ per cell): 260
E above lowest polymorph (meV/atom): 575
Energy relative to the elements, uncorrected (eV per formula unit): -1.37

Geometry as CIF:
```
data_CsBiBr
_cell_length_a 5.5756
_cell_length_b 5.5756
_cell_length_c 8.3767
_cell_angle_alpha 90.00
_cell_angle_beta 90.18
_cell_angle_gamma 90.00
_symmetry_space_group_name_H-M 'C 1 m 1'
_symmetry_Int_Tables_number 8
_symmetry_space_group_name_Hall 'C -2y'
loop_
_atom_site_label
_atom_site_fract_x
_atom_site_fract_y
_atom_site_fract_z
_atom_site_occupancy
Cs1 0.0000 0.0000 0.0000 1
Bi1 0.4973 0.0000 0.6055 1
Br1 0.0013 0.5000 0.2450 1
```


2.
The following is a PBE calculation of a relaxed MgTcC3 crystal, from Alexandria via LeMat-Bulk.

Energy of formation (eV per formula unit): 15.93
E (eV per formula unit): -23.706
Calculated volume (Å³ per cell): 60
E above lowest polymorph (meV/atom): 1632

Geometry as CIF:
```
data_MgTcC3
_cell_length_a 3.9102
_cell_length_b 3.9102
_cell_length_c 3.9102
_cell_angle_alpha 90.00
_cell_angle_beta 90.00
_cell_angle_gamma 90.00
_symmetry_space_group_name_H-M 'P m -3 m'
_symmetry_Int_Tables_number 221
_symmetry_space_group_name_Hall '-P 4 2 3'
loop_
_atom_site_label
_atom_site_fract_x
_atom_site_fract_y
_atom_site_fract_z
_atom_site_occupancy
Mg1 0.0000 0.0000 0.0000 1
Tc1 0.5000 0.5000 0.5000 1
C1 0.0000 0.0000 0.5000 1
```


3.
The following is a PBE calculation of a relaxed Cu2Ag2As crystal, from Alexandria via LeMat-Bulk.

Energy of formation (eV per formula unit): 0.62
E (eV per formula unit): -17.924
Calculated volume (Å³ per cell): 162
E above lowest polymorph (meV/atom): 0

Geometry as CIF:
```
data_Cu2Ag2As
_cell_length_a 6.2380
_cell_length_b 6.2380
_cell_length_c 4.1736
_cell_angle_alpha 90.00
_cell_angle_beta 90.00
_cell_angle_gamma 90.00
_symmetry_space_group_name_H-M 'P 4/m b m'
_symmetry_Int_Tables_number 127
_symmetry_space_group_name_Hall '-P 4 2ab'
loop_
_atom_site_label
_atom_site_fract_x
_atom_site_fract_y
_atom_site_fract_z
_atom_site_occupancy
Cu1 0.1411 0.3589 0.0000 1
Ag1 0.1629 0.6629 0.5000 1
As1 0.0000 0.0000 0.0000 1
```


Which of these has the lowest E above lowest polymorph? Cu2Ag2As


Number 3 is which compound? Cu2Ag2As


Which formula does entry 3 have? Cu2Ag2As